DFT (PBE) results for PmPr2Nd5Sc after structural relaxation.

Total energy in eV/atom: -4.666
Formation energy in eV/atom: 0.28
DOS at the Fermi energy in states/eV/cell: 28.63

Cell: 10.321 10.321 10.321 Å, 130.35 130.35 72.84°
Element x y z (fractional)
Pm 0.250 0.250 0.000
Pm 0.750 0.750 0.000
Pr 0.123 0.623 0.745
Pr 0.377 0.123 0.500
Pr 0.623 0.877 0.500
Pr 0.877 0.377 0.255
Nd 0.000 0.000 0.000
Nd 0.069 0.142 0.500
Nd 0.142 0.642 0.074
Nd 0.358 0.431 0.500
Nd 0.431 0.931 0.074
Nd 0.500 0.500 0.000
Nd 0.569 0.069 0.926
Nd 0.642 0.569 0.500
Nd 0.858 0.358 0.926
Nd 0.931 0.858 0.500
Sc 0.250 0.750 0.500
Sc 0.750 0.250 0.500